1.
## Li2DyGa2Si2 (PBE)

Data for a relaxed structure of Li2DyGa2Si2.

Unit cell a=8.095 b=8.095 c=8.095 alpha=30.36 beta=30.36 gamma=30.36
Sites, in units of the cell vectors:
Li 0.143 0.143 0.143
Li 0.857 0.857 0.857
Dy 0.000 0.000 0.000
Ga 0.438 0.438 0.438
Ga 0.562 0.562 0.562
Si 0.258 0.258 0.258
Si 0.742 0.742 0.742

Output
- E_form (uncorrected): -0.347 eV/atom
- Space-group type: R-3m
- Crystal system: trigonal

---

2.
## FeNiP (PBE)

Data for a relaxed structure of FeNiP.

Unit cell a=2.647 b=4.159 c=4.159 alpha=47.12 beta=90.00 gamma=90.00
Sites, in units of the cell vectors:
Fe 0.000 0.000 0.000
Ni 0.500 0.290 0.290
P 0.500 0.597 0.597

Output
- Formation energy from the elements: -6.162 kcal/mol of atoms
- Space-group type: Amm2
- Crystal system: orthorhombic

---

3.
## Ac2BiAu (PBE)

Data for a relaxed structure of Ac2BiAu.

Unit cell a=12.997 b=12.997 c=5.013 alpha=90.00 beta=90.00 gamma=160.04
Sites, in units of the cell vectors:
Ac 0.058 0.942 0.750
Ac 0.323 0.677 0.750
Ac 0.677 0.323 0.250
Ac 0.942 0.058 0.250
Bi 0.189 0.811 0.750
Bi 0.811 0.189 0.250
Au 0.459 0.541 0.750
Au 0.541 0.459 0.250

Output
- Formation energy from the elements: -18.476 kcal/mol of atoms
- Space-group type: Cmcm
- Crystal system: orthorhombic

---

Record order is preserved below.
E: -27.8, -20.5, -37.2 eV per cell
Record order is preserved below.
Size of the total moment: 0.00, 0.31, 0.00 μB/f.u.